*1*
Below is a geometry-optimized HoTmInRh structure, with properties calculated at the GGA-PBE level.

abc: 3.498 3.498 7.466
angles: 90.00 90.00 90.00
Sites, in units of the cell vectors:
Ho1 0.000 0.000 0.000
Tm1 0.000 0.000 0.434
In1 0.500 0.500 0.714
Rh1 0.500 0.500 0.222


*2*
Below is a geometry-optimized HoTmInRh structure, with properties calculated at the GGA-PBE level.

abc: 5.050 5.050 5.050
angles: 60.00 60.00 60.00
Sites, in units of the cell vectors:
Ho1 0.000 0.000 0.000
Tm1 0.500 0.500 0.500
In1 0.250 0.250 0.250
Rh1 0.750 0.750 0.750


Verdict on stability: *2* comes out at the bottom.


*1*
Below is a geometry-optimized HoIn3Ru structure, with properties calculated at the GGA-PBE level.

abc: 6.858 6.858 6.858
angles: 90.00 90.00 90.00
Sites, in units of the cell vectors:
Ho1 0.000 0.000 0.500
Ho2 0.000 0.500 0.000
Ho3 0.500 0.000 0.000
In1 0.000 0.000 0.000
In2 0.280 0.280 0.280
In3 0.280 0.280 0.720
In4 0.280 0.720 0.280
In5 0.280 0.720 0.720
In6 0.720 0.280 0.280
In7 0.720 0.280 0.720
In8 0.720 0.720 0.280
In9 0.720 0.720 0.720
Ru1 0.000 0.500 0.500
Ru2 0.500 0.000 0.500
Ru3 0.500 0.500 0.000


*2*
Below is a geometry-optimized HoIn3Ru structure, with properties calculated at the GGA-PBE level.

abc: 6.706 6.706 6.706
angles: 68.96 68.96 68.96
Sites, in units of the cell vectors:
Ho1 0.000 0.000 0.000
Ho2 0.500 0.500 0.500
In1 0.026 0.497 0.392
In2 0.392 0.026 0.497
In3 0.497 0.392 0.026
In4 0.526 0.892 0.997
In5 0.892 0.997 0.526
In6 0.997 0.526 0.892
Ru1 0.174 0.174 0.174
Ru2 0.674 0.674 0.674


Verdict on stability: *2* comes out at the bottom.


*1*
Below is a geometry-optimized Ho4InRu2 structure, with properties calculated at the GGA-PBE level.

abc: 6.260 7.529 7.540
angles: 89.90 80.10 80.12
Sites, in units of the cell vectors:
Ho1 0.000 0.000 0.000
Ho2 0.041 0.163 0.565
Ho3 0.357 0.582 0.029
Ho4 0.442 0.151 0.181
Ho5 0.500 0.414 0.587
Ho6 0.541 0.979 0.750
Ho7 0.857 0.443 0.168
Ho8 0.942 0.596 0.736
In1 0.355 0.788 0.404
In2 0.855 0.818 0.375
Ru1 0.177 0.463 0.379
Ru2 0.213 0.287 0.871
Ru3 0.677 0.793 0.050
Ru4 0.713 0.285 0.872


*2*
Below is a geometry-optimized Ho4InRu2 structure, with properties calculated at the GGA-PBE level.

abc: 4.864 4.864 7.047
angles: 90.00 90.00 90.00
Sites, in units of the cell vectors:
Ho1 0.000 0.500 0.237
Ho2 0.000 0.500 0.763
Ho3 0.500 0.000 0.237
Ho4 0.500 0.000 0.763
In1 0.000 0.000 0.500
Ru1 0.000 0.000 0.000
Ru2 0.500 0.500 0.500


Verdict on stability: *2* comes out at the bottom.


*1*
Below is a geometry-optimized Ho5In2Ru structure, with properties calculated at the GGA-PBE level.

abc: 6.639 6.639 6.639
angles: 116.16 116.16 96.79
Sites, in units of the cell vectors:
Ho1 0.000 0.000 0.000
Ho2 0.481 0.481 0.510
Ho3 0.481 0.971 0.000
Ho4 0.971 0.481 0.000
Ho5 0.971 0.971 0.490
In1 0.469 0.969 0.500
In2 0.969 0.469 0.500
Ru1 0.334 0.334 0.000


*2*
Below is a geometry-optimized Ho5In2Ru structure, with properties calculated at the GGA-PBE level.

abc: 6.736 12.515 4.951
angles: 90.00 90.00 90.00
Sites, in units of the cell vectors:
Ho1 0.000 0.000 0.000
Ho2 0.114 0.287 0.000
Ho3 0.172 0.589 0.500
Ho4 0.328 0.089 0.500
Ho5 0.386 0.787 0.000
Ho6 0.500 0.500 0.000
Ho7 0.614 0.213 0.000
Ho8 0.672 0.911 0.500
Ho9 0.828 0.411 0.500
Ho10 0.886 0.713 0.000
In1 0.121 0.845 0.500
In2 0.379 0.345 0.500
In3 0.621 0.655 0.500
In4 0.879 0.155 0.500
Ru1 0.000 0.500 0.000
Ru2 0.500 0.000 0.000


Verdict on stability: *1* comes out at the bottom.


*1*
Below is a geometry-optimized Ho6In3Ru structure, with properties calculated at the GGA-PBE level.

abc: 9.205 5.249 11.287
angles: 90.00 107.58 90.00
Sites, in units of the cell vectors:
Ho1 0.044 0.250 0.416
Ho2 0.194 0.750 0.167
Ho3 0.284 0.250 0.004
Ho4 0.350 0.750 0.829
Ho5 0.375 0.250 0.343
Ho6 0.395 0.250 0.648
Ho7 0.605 0.750 0.352
Ho8 0.625 0.750 0.657
Ho9 0.650 0.250 0.171
Ho10 0.716 0.750 0.996
Ho11 0.806 0.250 0.833
Ho12 0.956 0.750 0.584
In1 0.011 0.750 0.881
In2 0.094 0.250 0.719
In3 0.275 0.750 0.477
In4 0.725 0.250 0.523
In5 0.906 0.750 0.281
In6 0.989 0.250 0.119
Ru1 0.462 0.750 0.094
Ru2 0.538 0.250 0.906


*2*
Below is a geometry-optimized Ho6In3Ru structure, with properties calculated at the GGA-PBE level.

abc: 9.007 11.548 5.157
angles: 90.00 90.00 90.00
Sites, in units of the cell vectors:
Ho1 0.013 0.236 0.000
Ho2 0.154 0.082 0.500
Ho3 0.192 0.413 0.500
Ho4 0.308 0.913 0.000
Ho5 0.346 0.582 0.000
Ho6 0.487 0.736 0.500
Ho7 0.513 0.264 0.500
Ho8 0.654 0.418 0.000
Ho9 0.692 0.087 0.000
Ho10 0.808 0.587 0.500
Ho11 0.846 0.918 0.500
Ho12 0.987 0.764 0.000
In1 0.000 0.500 0.000
In2 0.154 0.723 0.500
In3 0.346 0.223 0.000
In4 0.500 0.000 0.500
In5 0.654 0.777 0.000
In6 0.846 0.277 0.500
Ru1 0.000 0.000 0.000
Ru2 0.500 0.500 0.500


Verdict on stability: *2* comes out at the bottom.


*1*
Below is a geometry-optimized HoScInRu structure, with properties calculated at the GGA-PBE level.

abc: 3.361 3.361 7.537
angles: 90.00 90.00 90.00
Sites, in units of the cell vectors:
Ho1 0.000 0.000 0.000
Sc1 0.000 0.000 0.578
In1 0.500 0.500 0.309
Ru1 0.500 0.500 0.769


*2*
Below is a geometry-optimized HoScInRu structure, with properties calculated at the GGA-PBE level.

abc: 4.913 4.913 4.913
angles: 60.00 60.00 60.00
Sites, in units of the cell vectors:
Ho1 0.000 0.000 0.000
Sc1 0.500 0.500 0.500
In1 0.250 0.250 0.250
Ru1 0.750 0.750 0.750


Verdict on stability: *2* comes out at the bottom.


*1*
Below is a geometry-optimized HoTmInRu structure, with properties calculated at the GGA-PBE level.

abc: 3.427 3.427 7.748
angles: 90.00 90.00 90.00
Sites, in units of the cell vectors:
Ho1 0.000 0.000 0.000
Tm1 0.000 0.000 0.578
In1 0.500 0.500 0.291
Ru1 0.500 0.500 0.785


*2*
Below is a geometry-optimized HoTmInRu structure, with properties calculated at the GGA-PBE level.

abc: 5.016 5.016 5.016
angles: 60.00 60.00 60.00
Sites, in units of the cell vectors:
Ho1 0.000 0.000 0.000
Tm1 0.500 0.500 0.500
In1 0.250 0.250 0.250
Ru1 0.750 0.750 0.750


Verdict on stability: *2* comes out at the bottom.


*1*
Below is a geometry-optimized Ho3InS6 structure, with properties calculated at the GGA-PBE level.

abc: 13.455 16.492 3.839
angles: 90.00 90.00 90.00
Sites, in units of the cell vectors:
Ho1 0.038 0.225 0.251
Ho2 0.190 0.645 0.250
Ho3 0.250 0.392 0.250
Ho4 0.250 0.892 0.750
Ho5 0.310 0.145 0.750
Ho6 0.462 0.725 0.749
Ho7 0.538 0.275 0.749
Ho8 0.690 0.855 0.750
Ho9 0.750 0.108 0.750
Ho10 0.750 0.608 0.250
Ho11 0.810 0.355 0.250
Ho12 0.962 0.775 0.251
In1 0.000 0.000 0.748
In2 0.000 0.500 0.750
In3 0.500 0.000 0.250
In4 0.500 0.500 0.252
S1 0.020 0.394 0.250
S2 0.097 0.911 0.250
S3 0.111 0.119 0.751
S4 0.114 0.746 0.750
S5 0.182 0.286 0.750
S6 0.194 0.521 0.750
S7 0.306 0.021 0.250
S8 0.318 0.786 0.250
S9 0.386 0.246 0.250
S10 0.389 0.619 0.249
S11 0.403 0.411 0.750
S12 0.480 0.894 0.750
S13 0.520 0.106 0.750
S14 0.597 0.589 0.750
S15 0.611 0.381 0.249
S16 0.614 0.754 0.250
S17 0.682 0.214 0.250
S18 0.694 0.979 0.250
S19 0.806 0.479 0.750
S20 0.818 0.714 0.750
S21 0.886 0.254 0.750
S22 0.889 0.881 0.751
S23 0.903 0.089 0.250
S24 0.980 0.606 0.250


*2*
Below is a geometry-optimized Ho3InS6 structure, with properties calculated at the GGA-PBE level.

abc: 8.554 8.554 6.587
angles: 90.00 90.00 102.75
Sites, in units of the cell vectors:
Ho1 0.095 0.905 0.500
Ho2 0.215 0.412 0.589
Ho3 0.412 0.215 0.089
Ho4 0.588 0.785 0.589
Ho5 0.785 0.588 0.089
Ho6 0.905 0.095 0.000
In1 0.298 0.702 0.114
In2 0.702 0.298 0.614
S1 0.054 0.600 0.321
S2 0.131 0.194 0.293
S3 0.194 0.131 0.793
S4 0.280 0.720 0.744
S5 0.400 0.946 0.321
S6 0.467 0.533 0.285
S7 0.533 0.467 0.785
S8 0.600 0.054 0.821
S9 0.720 0.280 0.244
S10 0.806 0.869 0.293
S11 0.869 0.806 0.793
S12 0.946 0.400 0.821


Verdict on stability: *1* comes out at the bottom.